Crystalline Nb2VS4 at its relaxed geometry. Source: Alexandria, functional PBE.

Output
Total energy: -7.1583 eV/atom
E above lowest polymorph: 0 meV/atom
Calculated density: 4.85 g cm⁻³

Cell: 6.409 6.193 6.558 Å, 90.00 106.02 90.00°
Positions (direct):
Nb (0.713, 0.750, 0.020)
Nb (0.287, 0.250, 0.980)
Nb (0.295, 0.250, 0.420)
Nb (0.705, 0.750, 0.580)
V (0.233, 0.750, 0.202)
V (0.767, 0.250, 0.798)
S (0.513, 0.504, 0.253)
S (0.022, 0.750, 0.874)
S (0.978, 0.250, 0.126)
S (0.513, 0.996, 0.253)
S (0.022, 0.250, 0.623)
S (0.487, 0.004, 0.747)
S (0.487, 0.496, 0.747)
S (0.978, 0.750, 0.377)

Crystalline NbVS2 at its relaxed geometry. Source: Alexandria, functional PBE.

Output
Total energy: -7.2977 eV/atom
E above lowest polymorph: 483 meV/atom
Calculated density: 4.30 g cm⁻³

Cell: 5.589 5.589 6.486 Å, 64.48 64.48 90.00°
Positions (direct):
Nb (0.000, 0.000, 0.000)
Nb (0.750, 0.250, 0.500)
S (0.608, 0.125, 0.250)
S (0.142, 0.625, 0.250)
S (0.375, 0.392, 0.750)
S (0.875, 0.858, 0.750)
V (0.500, 0.500, 0.000)
V (0.250, 0.750, 0.500)

Crystalline Nb2V2S at its relaxed geometry. Source: Alexandria, functional PBE.

Output
Total energy: -8.2927 eV/atom
E above lowest polymorph: 74 meV/atom
Calculated density: 6.58 g cm⁻³

Cell: 3.246 3.246 7.995 Å, 78.29 78.29 90.00°
Positions (direct):
Nb (0.405, 0.405, 0.191)
Nb (0.595, 0.595, 0.809)
S (0.000, 0.000, 0.000)
V (0.750, 0.250, 0.500)
V (0.250, 0.750, 0.500)

Crystalline NbVS4 at its relaxed geometry. Source: Alexandria, functional PBE.

Output
Total energy: -6.7594 eV/atom
Calculated density: 4.07 g cm⁻³

Cell: 5.461 5.843 6.953 Å, 90.00 90.00 90.00°
Positions (direct):
Nb (0.000, 0.500, 0.093)
Nb (0.500, 0.500, 0.593)
V (0.000, 0.000, 0.904)
V (0.500, 0.000, 0.404)
S (0.262, 0.836, 0.124)
S (0.267, 0.315, 0.877)
S (0.233, 0.315, 0.377)
S (0.238, 0.836, 0.624)
S (0.767, 0.685, 0.377)
S (0.762, 0.164, 0.624)
S (0.738, 0.164, 0.124)
S (0.733, 0.685, 0.877)

Crystalline NbV3S at its relaxed geometry. Source: Alexandria, functional PBE.

Output
Total energy: -6.7179 eV/atom
E above lowest polymorph: 1720 meV/atom
Calculated density: 4.67 g cm⁻³

Cell: 4.621 4.621 4.621 Å, 90.00 90.00 90.00°
Positions (direct):
Nb (0.000, 0.000, 0.000)
S (0.500, 0.500, 0.500)
V (0.000, 0.500, 0.000)
V (0.000, 0.000, 0.500)
V (0.500, 0.000, 0.000)

Crystalline Nb2VS at its relaxed geometry. Source: Alexandria, functional PBE.

Output
Total energy: -8.5150 eV/atom
Calculated density: 6.76 g cm⁻³

Cell: 3.186 3.186 7.738 Å, 78.12 78.12 60.00°
Positions (direct):
Nb (0.747, 0.747, 0.760)
Nb (0.253, 0.253, 0.240)
S (0.000, 0.000, 0.000)
V (0.500, 0.500, 0.500)

Crystalline Nb3VS8 at its relaxed geometry. Source: Alexandria, functional PBE.

Output
Total energy: -6.9791 eV/atom
Calculated density: 3.74 g cm⁻³

Cell: 6.729 6.726 7.710 Å, 116.14 90.00 120.01°
Positions (direct):
Nb (0.500, 0.000, 0.000)
Nb (0.500, 0.500, 0.000)
Nb (0.000, 0.500, 0.000)
V (0.000, 0.000, 0.000)
S (0.254, 0.508, 0.765)
S (0.746, 0.492, 0.235)
S (0.247, 0.009, 0.773)
S (0.762, 0.009, 0.773)
S (0.762, 0.524, 0.774)
S (0.238, 0.476, 0.226)
S (0.238, 0.991, 0.227)
S (0.753, 0.991, 0.227)

Crystalline NbVS6 at its relaxed geometry. Source: Alexandria, functional PBE.

Output
Total energy: -5.9725 eV/atom
Calculated density: 3.44 g cm⁻³

Cell: 5.974 6.123 6.967 Å, 55.33 54.33 57.74°
Positions (direct):
Nb (0.500, 0.500, 0.500)
V (0.000, 0.000, 0.000)
S (0.039, 0.435, 0.763)
S (0.634, 0.131, 0.872)
S (0.633, 0.132, 0.362)
S (0.366, 0.869, 0.128)
S (0.961, 0.565, 0.237)
S (0.367, 0.868, 0.638)

Crystalline NbV4S8 at its relaxed geometry. Source: Alexandria, functional PBE.

Output
Total energy: -6.9746 eV/atom
Calculated density: 3.89 g cm⁻³

Cell: 6.939 6.939 6.939 Å, 60.00 60.00 60.00°
Positions (direct):
Nb (0.750, 0.750, 0.750)
V (0.946, 0.351, 0.351)
V (0.351, 0.946, 0.351)
V (0.351, 0.351, 0.946)
V (0.351, 0.351, 0.351)
S (0.636, 0.121, 0.121)
S (0.121, 0.636, 0.121)
S (0.121, 0.121, 0.636)
S (0.121, 0.121, 0.121)
S (0.162, 0.613, 0.613)
S (0.613, 0.162, 0.613)
S (0.613, 0.613, 0.162)
S (0.613, 0.613, 0.613)

Crystalline Nb2VS2 at its relaxed geometry. Source: Alexandria, functional PBE.

Output
Total energy: -8.0274 eV/atom
Calculated density: 6.30 g cm⁻³

Cell: 3.348 6.653 7.316 Å, 90.00 103.23 90.00°
Positions (direct):
Nb (0.932, 0.720, 0.865)
Nb (0.816, 0.409, 0.632)
Nb (0.184, 0.909, 0.368)
Nb (0.068, 0.220, 0.135)
V (0.404, 0.101, 0.807)
V (0.596, 0.601, 0.193)
S (0.455, 0.428, 0.911)
S (0.810, 0.977, 0.620)
S (0.190, 0.477, 0.380)
S (0.545, 0.928, 0.089)

Crystalline NbV2S6 at its relaxed geometry. Source: Alexandria, functional PBE.

Output
Total energy: -6.4928 eV/atom
E above lowest polymorph: 297 meV/atom
Calculated density: 3.61 g cm⁻³

Cell: 4.226 6.159 7.784 Å, 72.51 74.25 69.94°
Positions (direct):
Nb (0.000, 0.500, 0.500)
V (0.146, 0.787, 0.921)
V (0.854, 0.213, 0.079)
S (0.699, 0.649, 0.953)
S (0.301, 0.351, 0.047)
S (0.970, 0.835, 0.224)
S (0.356, 0.664, 0.624)
S (0.030, 0.165, 0.776)
S (0.644, 0.336, 0.376)

Crystalline NbV2S6 at its relaxed geometry. Source: Alexandria, functional PBE.

Output
Total energy: -6.7902 eV/atom
E above lowest polymorph: 0 meV/atom
Calculated density: 3.54 g cm⁻³

Cell: 3.267 7.561 8.246 Å, 113.90 101.43 90.00°
Positions (direct):
Nb (0.500, 0.000, 0.000)
V (0.827, 0.658, 0.655)
V (0.173, 0.342, 0.345)
S (0.334, 0.893, 0.668)
S (0.009, 0.251, 0.018)
S (0.672, 0.568, 0.344)
S (0.991, 0.749, 0.982)
S (0.666, 0.107, 0.332)
S (0.328, 0.432, 0.656)

Crystalline Nb2VS3 at its relaxed geometry. Source: Alexandria, functional PBE.

Output
Total energy: -7.5596 eV/atom
Calculated density: 5.01 g cm⁻³

Cell: 3.332 5.470 6.847 Å, 113.54 104.08 90.00°
Positions (direct):
Nb (0.803, 0.598, 0.605)
Nb (0.197, 0.992, 0.395)
V (0.500, 0.204, 0.000)
S (0.000, 0.930, 0.000)
S (0.371, 0.380, 0.741)
S (0.629, 0.639, 0.259)

Crystalline Nb2V2S7 at its relaxed geometry. Source: Alexandria, functional PBE.

Output
Total energy: -6.8698 eV/atom
Calculated density: 3.57 g cm⁻³

Cell: 6.302 6.388 6.388 Å, 112.04 90.89 90.89°
Positions (direct):
Nb (0.500, 0.359, 0.641)
Nb (0.500, 0.641, 0.359)
V (0.857, 0.267, 0.267)
V (0.143, 0.733, 0.733)
S (0.303, 0.970, 0.597)
S (0.697, 0.403, 0.030)
S (0.697, 0.030, 0.403)
S (0.303, 0.597, 0.970)
S (0.000, 0.000, 0.000)
S (0.782, 0.606, 0.606)
S (0.218, 0.394, 0.394)

Crystalline NbVS2 at its relaxed geometry. Source: Alexandria, functional PBE.

Output
Total energy: -7.3765 eV/atom
E above lowest polymorph: 404 meV/atom
Calculated density: 5.37 g cm⁻³

Cell: 8.334 8.334 8.334 Å, 20.86 20.86 20.86°
Positions (direct):
Nb (0.000, 0.000, 0.000)
S (0.897, 0.897, 0.897)
S (0.103, 0.103, 0.103)
V (0.500, 0.500, 0.500)

Crystalline NbVS2 at its relaxed geometry. Source: Alexandria, functional PBE.

Output
Total energy: -7.7809 eV/atom
E above lowest polymorph: 0 meV/atom
Calculated density: 5.57 g cm⁻³

Cell: 3.226 5.648 13.621 Å, 90.00 90.00 90.00°
Positions (direct):
Nb (0.250, 0.420, 0.690)
Nb (0.750, 0.580, 0.310)
Nb (0.250, 0.920, 0.810)
Nb (0.750, 0.080, 0.190)
V (0.250, 0.443, 0.916)
V (0.750, 0.557, 0.084)
V (0.250, 0.943, 0.584)
V (0.750, 0.057, 0.416)
S (0.250, 0.741, 0.185)
S (0.750, 0.259, 0.815)
S (0.250, 0.241, 0.315)
S (0.750, 0.759, 0.685)
S (0.250, 0.746, 0.436)
S (0.750, 0.254, 0.564)
S (0.250, 0.246, 0.064)
S (0.750, 0.754, 0.936)

Crystalline Nb3VS4 at its relaxed geometry. Source: Alexandria, functional PBE.

Output
Total energy: -7.6782 eV/atom
Calculated density: 5.35 g cm⁻³

Cell: 6.436 6.790 6.500 Å, 90.00 90.00 90.00°
Positions (direct):
Nb (0.428, 0.767, 0.000)
Nb (0.058, 0.621, 0.258)
Nb (0.558, 0.379, 0.242)
Nb (0.928, 0.233, 0.500)
Nb (0.558, 0.379, 0.758)
Nb (0.058, 0.621, 0.742)
V (0.931, 0.227, 0.000)
V (0.431, 0.773, 0.500)
S (0.069, 0.892, 0.000)
S (0.599, 0.103, 0.000)
S (0.186, 0.289, 0.237)
S (0.686, 0.711, 0.263)
S (0.099, 0.897, 0.500)
S (0.569, 0.108, 0.500)
S (0.686, 0.711, 0.737)
S (0.186, 0.289, 0.763)

Crystalline Nb3VS at its relaxed geometry. Source: Alexandria, functional PBE.

Output
Total energy: -8.4021 eV/atom
E above lowest polymorph: 516 meV/atom
Calculated density: 6.30 g cm⁻³

Cell: 4.570 4.570 4.570 Å, 90.00 90.00 90.00°
Positions (direct):
Nb (0.000, 0.500, 0.000)
Nb (0.000, 0.000, 0.500)
Nb (0.500, 0.000, 0.000)
S (0.000, 0.000, 0.000)
V (0.500, 0.500, 0.500)

Crystalline NbV3S at its relaxed geometry. Source: Alexandria, functional PBE.

Output
Total energy: -8.2529 eV/atom
E above lowest polymorph: 185 meV/atom
Calculated density: 5.90 g cm⁻³

Cell: 4.277 4.277 4.277 Å, 90.00 90.00 90.00°
Positions (direct):
Nb (0.500, 0.500, 0.500)
S (0.000, 0.000, 0.000)
V (0.000, 0.500, 0.000)
V (0.000, 0.000, 0.500)
V (0.500, 0.000, 0.000)

Crystalline Nb3VS at its relaxed geometry. Source: Alexandria, functional PBE.

Output
Total energy: -7.5977 eV/atom
E above lowest polymorph: 1320 meV/atom
Calculated density: 5.91 g cm⁻³

Cell: 4.667 4.667 4.667 Å, 90.00 90.00 90.00°
Positions (direct):
Nb (0.000, 0.500, 0.000)
Nb (0.000, 0.000, 0.500)
Nb (0.500, 0.000, 0.000)
S (0.500, 0.500, 0.500)
V (0.000, 0.000, 0.000)